VASP calculation (PBE-GGA) on a relaxed structure of Zr2NbPt2.

```
data_Zr2NbPt2
_space_group_name_H-M_alt 'P 4/m b m'
_space_group_IT_number 127
_space_group_name_Hall '-P 4 2ab'
_cell_length_a 7.5609
_cell_length_b 7.5609
_cell_length_c 3.3975
_cell_angle_alpha 90.00
_cell_angle_beta 90.00
_cell_angle_gamma 90.00
loop_
_atom_site_label
_atom_site_fract_x
_atom_site_fract_y
_atom_site_fract_z
_atom_site_occupancy
Zr1 0.1700 0.3300 0.0000 1
Nb1 0.0000 0.0000 0.5000 1
Pt1 0.1309 0.6309 0.5000 1
```


VASP calculation (PBE-GGA) on a relaxed structure of Pu6Nb.

```
data_Pu6Nb
_space_group_name_H-M_alt 'I m -3 m'
_space_group_IT_number 229
_space_group_name_Hall '-I 4 2 3'
_cell_length_a 6.6300
_cell_length_b 6.6300
_cell_length_c 6.6300
_cell_angle_alpha 90.00
_cell_angle_beta 90.00
_cell_angle_gamma 90.00
loop_
_atom_site_label
_atom_site_fract_x
_atom_site_fract_y
_atom_site_fract_z
_atom_site_occupancy
Pu1 0.0000 0.2500 0.5000 1
Nb1 0.0000 0.0000 0.0000 1
```


Quick rundown of ΔH_f (0 K), same order as above: -664.1, 497.0 meV per atom